Record 1
NaSbPd3 | Alexandria via LeMat-Bulk | PBE | relaxed; E = -4.445 eV per atom; magnetic moment = 0.0 μB per cell; mass density = 6.9 g cm⁻³
1.0
-3.9813 4.1720 -0.1172
-5.1056 -4.8045 2.4080
5.7042 1.5630 3.8031
Pd Na Sb
6 2 2
Cartesian
3.1719 1.1250 3.2648 Pd
1.1812 3.2110 3.2062 Pd
-6.5546 -0.1945 2.8291 Pd
-4.5639 -2.2805 2.8877 Pd
-1.9367 -1.7453 3.6614 Pd
-1.4460 2.6758 2.4325 Pd
0.1811 0.2476 2.6626 Na
-3.5638 0.6829 3.4313 Na
-2.5528 -2.4023 1.2040 Sb
-1.9906 2.0860 -0.0586 Sb


Record 2
RbOsRh | Alexandria via LeMat-Bulk | PBE | relaxed; E = -5.899 eV per atom; magnetic moment = 0.0 μB per cell; formation energy from the elements = 59.54 kJ/mol of atoms; mass density = 8.4 g cm⁻³
1.0
5.2573 0.0000 0.0000
0.0000 4.1358 0.0000
0.8496 0.0000 6.8965
Rh Os Rb
2 2 2
Cartesian
3.6337 0.0000 4.9755 Rh
1.0101 0.0000 4.8968 Rh
4.9513 2.0679 4.2274 Os
2.3323 2.0679 4.0993 Os
3.9315 0.0000 1.6175 Rb
1.2665 2.0679 0.5294 Rb